Record 1
BaCr4Co3O12 | GGA+U | optimized geometry

a b c (Å): 6.495 6.495 6.495
angles (deg): 109.47 109.47 109.47
Positions (direct):
1 Ba 0.000 0.000 0.000
2 Cr 0.000 0.000 0.500
3 Cr 0.000 0.500 0.000
4 Cr 0.500 0.000 0.000
5 Cr 0.500 0.500 0.500
6 Co 0.000 0.500 0.500
7 Co 0.500 0.000 0.500
8 Co 0.500 0.500 0.000
9 O 0.142 0.319 0.823
10 O 0.177 0.496 0.319
11 O 0.177 0.858 0.681
12 O 0.319 0.177 0.496
13 O 0.319 0.823 0.142
14 O 0.496 0.319 0.177
15 O 0.504 0.681 0.823
16 O 0.681 0.177 0.858
17 O 0.681 0.823 0.504
18 O 0.823 0.142 0.319
19 O 0.823 0.504 0.681
20 O 0.858 0.681 0.177

Results
Crystal system: cubic
M_tot: 17.00 μB/cell
Space-group type: Im-3, No. 204
Energy: -137.9 eV per cell

Record 2
BaCrCoO2 | GGA+U | optimized geometry

a b c (Å): 4.259 4.259 4.472
angles (deg): 90.00 90.00 90.00
Positions (direct):
1 Ba 0.000 0.000 0.000
2 Cr 0.500 0.500 0.000
3 Co 0.500 0.500 0.500
4 O 0.000 0.500 0.500
5 O 0.500 0.000 0.500

Results
Crystal system: tetragonal
M_tot: 6.98 μB/cell
Space-group type: P4/mmm, No. 123
Energy: -26.4 eV per cell

> Look up the M_tot of the second one.

6.98 μB/cell

> Number 2 is which compound?

BaCrCoO2

> What is the energy in the first record?

-137.9 eV per cell